1.
# TaTc PBE optimized geometry
# volume: 33.5 Å³/f.u.
# D(E_F): 0.988 states/eV/f.u.
# crystal system: trigonal
# energy of formation: -0.02 eV per atom
# size of the total moment: 0.00 Bohr magnetons per cell
data_TaTc
_chemical_formula_sum 'Ta3 Tc3'
_symmetry_space_group_name_H-M 'R -3 m'
_symmetry_Int_Tables_number 166
_symmetry_space_group_name_Hall '-R 3 2"'
_cell_length_a 3.0613
_cell_length_b 3.0613
_cell_length_c 12.3828
_cell_angle_alpha 90.00
_cell_angle_beta 90.00
_cell_angle_gamma 120.00
loop_
_atom_site_label
_atom_site_type_symbol
_atom_site_fract_x
_atom_site_fract_y
_atom_site_fract_z
Ta1 Ta 0.0000 0.0000 0.0000
Tc1 Tc 0.0000 0.0000 0.5000

---

2.
# Ta2OsW PBE optimized geometry
# volume: 72.4 Å³/f.u.
# D(E_F): 4.723 states/eV/f.u.
# crystal system: tetragonal
# excess energy over the best structure of this formula in the dataset: 0.963 eV/atom
# energy of formation: 0.66 eV per atom
# size of the total moment: 0.00 Bohr magnetons per cell
data_Ta2OsW
_chemical_formula_sum 'Ta8 Os4 W4'
_symmetry_space_group_name_H-M 'I -4 2 d'
_symmetry_Int_Tables_number 122
_symmetry_space_group_name_Hall 'I -4 2bw'
_cell_length_a 7.2839
_cell_length_b 7.2839
_cell_length_c 5.4589
_cell_angle_alpha 90.00
_cell_angle_beta 90.00
_cell_angle_gamma 90.00
loop_
_atom_site_label
_atom_site_type_symbol
_atom_site_fract_x
_atom_site_fract_y
_atom_site_fract_z
Ta1 Ta 0.2354 0.2500 0.1250
Os1 Os 0.0000 0.0000 0.0000
W1 W 0.0000 0.0000 0.5000

---

3.
# Sr3Pm2HoTe6 PBE optimized geometry
# volume: 403.8 Å³/f.u.
# D(E_F): 5.269 states/eV/f.u.
# crystal system: monoclinic
# E_form (uncorrected): -18.273 eV/f.u.
# size of the total moment: 0.00 Bohr magnetons per cell
data_Sr3Pm2HoTe6
_chemical_formula_sum 'Sr6 Pm4 Ho2 Te12'
_symmetry_space_group_name_H-M 'C 1 2/m 1'
_symmetry_Int_Tables_number 12
_cell_length_a 7.8440
_cell_length_b 13.5654
_cell_length_c 8.0279
_cell_angle_alpha 90.00
_cell_angle_beta 109.02
_cell_angle_gamma 90.00
loop_
_symmetry_equiv_pos_as_xyz
'x,y,z'
'-x,-y,-z'
'-x,y,-z'
'x,-y,z'
'x+1/2,y+1/2,z'
'-x+1/2,-y+1/2,-z'
'-x+1/2,y+1/2,-z'
'x+1/2,-y+1/2,z'
loop_
_atom_site_label
_atom_site_type_symbol
_atom_site_fract_x
_atom_site_fract_y
_atom_site_fract_z
Sr1 Sr 0.0000 0.0000 0.0000
Sr2 Sr 0.0000 0.3304 0.0000
Pm1 Pm 0.0000 0.1654 0.5000
Ho1 Ho 0.0000 0.5000 0.5000
Te1 Te 0.2411 0.3367 0.7347
Te2 Te 0.2466 0.5000 0.2626

---

4.
# Ca2Ge3Pt4Pb PBE optimized geometry
# volume: 205.9 Å³/f.u.
# D(E_F): 4.807 states/eV/f.u.
# crystal system: tetragonal
# energy of formation: -0.68 eV per atom
# size of the total moment: 0.00 Bohr magnetons per cell
data_Ca2Ge3Pt4Pb
_chemical_formula_sum 'Ca2 Ge3 Pt4 Pb1'
_symmetry_space_group_name_H-M 'P -4 m 2'
_symmetry_Int_Tables_number 115
_cell_length_a 4.3706
_cell_length_b 4.3706
_cell_length_c 10.7802
_cell_angle_alpha 90.00
_cell_angle_beta 90.00
_cell_angle_gamma 90.00
loop_
_symmetry_equiv_pos_as_xyz
'x,y,z'
'y,-x,-z'
'-x,-y,z'
'-y,x,-z'
'-x,y,z'
'-y,-x,-z'
'x,-y,z'
'y,x,-z'
loop_
_atom_site_label
_atom_site_type_symbol
_atom_site_fract_x
_atom_site_fract_y
_atom_site_fract_z
Ca1 Ca 0.0000 0.5000 0.2380
Ge1 Ge 0.0000 0.5000 0.8793
Ge2 Ge 0.5000 0.5000 0.5000
Pt1 Pt 0.0000 0.0000 0.0000
Pt2 Pt 0.0000 0.5000 0.6548
Pt3 Pt 0.5000 0.5000 0.0000
Pb1 Pb 0.0000 0.0000 0.5000